Material: V2O5
Method: DFT, GGA+U
State: relaxed

Calculated values
- DFT total energy (eV/atom) = -7.437
- mass density (g/cm³) = 3.35
- symmetry = P2_1/m, No. 11

Geometry as POSCAR:
```
V2O5
1.0
6.358 0.000 0.000
0.000 3.623 0.000
-0.151 0.000 7.828
V O
4 10
Direct
0.194 0.250 0.089
0.257 0.750 0.744
0.743 0.250 0.256
0.806 0.750 0.911
0.042 0.250 0.274
0.145 0.750 0.029
0.256 0.250 0.822
0.310 0.750 0.545
0.442 0.250 0.164
0.558 0.750 0.836
0.690 0.250 0.455
0.744 0.750 0.178
0.855 0.250 0.971
0.958 0.750 0.726
```